[1]
Crystalline LiDy2UO6 at its relaxed geometry, computed with PBE-GGA.

Computed properties:
Crystal system   trigonal
E_form (uncorrected)   -3183 meV/atom
Symmetry   R3

Cell lengths 5.7665, 5.7664, 6.0358 Å; angles 61.47, 61.46, 60.00 degrees
Closest atoms and distances in Å follow each position.
Atoms (fractional coordinates):
Li 0.7964 0.7963 0.6108  3 O 2.22
Dy 0.5282 0.5282 0.4154  6 O 2.24-2.40
Dy 0.0215 0.0215 0.9354  6 O 2.25-2.35
U 0.3172 0.3172 0.0484  6 O 2.15-2.17
O 0.6038 0.2227 0.2378  1 U 2.15, 2 Dy 2.24-2.35
O 0.2227 0.9358 0.2378  1 U 2.15, 2 Dy 2.24-2.35
O 0.9358 0.6038 0.2378  1 U 2.15, 2 Dy 2.24-2.35
O 0.4118 0.6951 0.7639  1 U 2.17, 1 Li 2.22, 2 Dy 2.25-2.40
O 0.6951 0.1292 0.7640  1 U 2.17, 1 Li 2.22, 2 Dy 2.25-2.40
O 0.1292 0.4118 0.7639  1 U 2.17, 1 Li 2.22, 2 Dy 2.25-2.40

[2]
Crystalline Li2DyUO6 at its relaxed geometry, computed with PBE-GGA.

Computed properties:
Crystal system   monoclinic
E_form (uncorrected)   -2676 meV/atom
DOS(E_F)   0.89 states/eV per atom
Symmetry   P2_1/c

Cell lengths 5.5378, 5.6669, 8.0503 Å; angles 90.00, 89.96, 90.00 degrees
Closest atoms and distances in Å follow each position.
Atoms (fractional coordinates):
Li 0.9812 0.9883 0.2558  3 O 2.03-2.04
Li 0.4812 0.5117 0.7558  3 O 2.03-2.04
Li 0.0188 0.0117 0.7442  3 O 2.03-2.04
Li 0.5188 0.4883 0.2442  3 O 2.03-2.04
Dy 0.5000 0.0000 0.0000  6 O 2.25-2.29
Dy 0.0000 0.5000 0.5000  6 O 2.25-2.29
U 0.5000 0.0000 0.5000  6 O 2.06-2.09
U 0.0000 0.5000 0.0000  6 O 2.06-2.09
O 0.3236 0.6549 0.0643  1 Li 2.04, 1 U 2.06, 1 Dy 2.25
O 0.8236 0.8451 0.5643  1 Li 2.04, 1 U 2.06, 1 Dy 2.25
O 0.6764 0.3451 0.9357  1 Li 2.04, 1 U 2.06, 1 Dy 2.25
O 0.1764 0.1549 0.4357  1 Li 2.04, 1 U 2.06, 1 Dy 2.25
O 0.3539 0.6820 0.4259  1 Li 2.04, 1 U 2.06
O 0.8539 0.8180 0.9259  1 Li 2.04, 1 U 2.06
O 0.6461 0.3180 0.5741  1 Li 2.04, 1 U 2.06
O 0.1461 0.1820 0.0741  1 Li 2.04, 1 U 2.06
O 0.8727 0.5842 0.2368  1 Li 2.03, 1 U 2.09
O 0.3727 0.9158 0.7368  1 Li 2.03, 1 U 2.09
O 0.1273 0.4158 0.7632  1 Li 2.03, 1 U 2.09
O 0.6273 0.0842 0.2632  1 Li 2.03, 1 U 2.09